# 1
## LaMoPt2Pb (PBE)

Data for an optimized crystal structure of LaMoPt2Pb. Values from VASP.

```
&SYSTEM
  ibrav = 0, nat = 5, ntyp = 4
/
ATOMIC_SPECIES
Pt 195.08 Pt.upf
Pb 207.20 Pb.upf
Mo 95.94 Mo.upf
La 138.91 La.upf
ATOMIC_POSITIONS crystal
Pt 0.500 0.000 0.000
Pt 0.000 0.000 0.500
Pb 0.000 0.500 0.000
Mo 0.500 0.500 0.500
La 0.000 0.000 0.000
CELL_PARAMETERS angstrom
5.119 0.000 0.000
0.000 5.879 0.000
0.000 0.000 5.119
```

Results
- total energy (eV/cell) = -23.3
- symmetry = P4/mmm (123)

---

# 2
## Ce8Pt2Au (PBE)

Data for an optimized crystal structure of Ce8Pt2Au. Values from VASP.

```
&SYSTEM
  ibrav = 0, nat = 11, ntyp = 3
/
ATOMIC_SPECIES
Au 196.97 Au.upf
Ce 140.12 Ce.upf
Pt 195.08 Pt.upf
ATOMIC_POSITIONS crystal
Au 0.500 0.000 0.000
Ce 0.318 0.031 0.637
Ce 0.211 0.288 0.423
Ce 0.404 0.513 0.807
Ce 0.789 0.712 0.577
Ce 0.596 0.487 0.193
Ce 0.014 0.778 0.028
Ce 0.682 0.969 0.363
Ce 0.986 0.222 0.972
Pt 0.160 0.679 0.319
Pt 0.840 0.321 0.681
CELL_PARAMETERS angstrom
-0.593 4.580 -2.704
-5.746 -1.840 -1.856
-0.732 2.016 8.871
```

Results
- total energy (eV/cell) = -67.7
- symmetry = C2/m (12)

---

# 3
## TbNpP2 (PBE)

Data for an optimized crystal structure of TbNpP2. Values from VASP.

```
&SYSTEM
  ibrav = 0, nat = 4, ntyp = 3
/
ATOMIC_SPECIES
Np 237.00 Np.upf
Tb 158.93 Tb.upf
P 30.97 P.upf
ATOMIC_POSITIONS crystal
Np 0.500 0.500 0.500
Tb 0.000 0.000 0.000
P 0.247 0.247 0.258
P 0.753 0.753 0.742
CELL_PARAMETERS angstrom
-2.408 -2.708 1.664
1.125 -1.894 3.323
-3.196 3.142 5.264
```

Results
- relative energy among the computed polymorphs (kJ per mole of atoms) = 0.11
- symmetry = R-3m (166)

---

# 4
## Cr2NiN (PBE)

Data for an optimized crystal structure of Cr2NiN. Values from VASP.

```
&SYSTEM
  ibrav = 0, nat = 8, ntyp = 3
/
ATOMIC_SPECIES
Cr 52.00 Cr.upf
Ni 58.69 Ni.upf
N 14.01 N.upf
ATOMIC_POSITIONS crystal
Cr 0.875 0.777 0.750
Cr 0.223 0.625 0.250
Cr 0.527 0.125 0.250
Cr 0.375 0.473 0.750
Ni 0.750 0.250 0.500
Ni 0.000 0.000 0.000
N 0.500 0.500 0.000
N 0.250 0.750 0.500
CELL_PARAMETERS angstrom
-4.541 -3.970 -1.816
3.022 -4.750 2.826
-1.807 -3.972 2.275
```

Results
- relative energy among the computed polymorphs (kJ per mole of atoms) = 24.80
- formation energy (no corrections) (meV/atom) = 83
- symmetry = I-42d (122)

---

# 5
## La2PmHg5 (PBE)

Data for an optimized crystal structure of La2PmHg5. Values from VASP.

```
&SYSTEM
  ibrav = 0, nat = 8, ntyp = 3
/
ATOMIC_SPECIES
Hg 200.59 Hg.upf
Pm 145.00 Pm.upf
La 138.91 La.upf
ATOMIC_POSITIONS crystal
Hg 0.883 0.383 0.765
Hg 0.500 0.500 0.000
Hg 0.117 0.617 0.235
Hg 0.383 0.883 0.765
Hg 0.617 0.117 0.235
Pm 0.000 0.000 0.000
La 0.268 0.268 0.536
La 0.732 0.732 0.464
CELL_PARAMETERS angstrom
-2.487 4.649 0.840
-4.632 -2.586 0.603
4.900 -1.676 6.812
```

Results
- total energy (eV/cell) = -19.7
- symmetry = I4/mmm (139)

---

# 6
## CeHfO4 (PBE)

Data for an optimized crystal structure of CeHfO4. Values from VASP.

```
&SYSTEM
  ibrav = 0, nat = 12, ntyp = 3
/
ATOMIC_SPECIES
Hf 178.49 Hf.upf
Ce 140.12 Ce.upf
O 16.00 O.upf
ATOMIC_POSITIONS crystal
Hf 0.000 0.000 0.000
Hf 0.750 0.250 0.500
Ce 0.500 0.500 0.000
Ce 0.250 0.750 0.500
O 0.863 0.391 0.958
O 0.141 0.683 0.028
O 0.317 0.345 0.458
O 0.887 0.859 0.542
O 0.609 0.567 0.472
O 0.433 0.905 0.042
O 0.655 0.113 0.972
O 0.095 0.137 0.528
CELL_PARAMETERS angstrom
6.580 -0.008 0.000
2.319 6.158 0.000
-4.450 -3.075 3.748
```

Results
- formation energy (no corrections) (meV/atom) = -3438
- symmetry = I4_1/a (88)

---

# 7
## Pm3AlGe2 (PBE)

Data for an optimized crystal structure of Pm3AlGe2. Values from VASP.

```
&SYSTEM
  ibrav = 0, nat = 24, ntyp = 3
/
ATOMIC_SPECIES
Ge 72.64 Ge.upf
Pm 145.00 Pm.upf
Al 26.98 Al.upf
ATOMIC_POSITIONS crystal
Ge 0.750 0.992 0.688
Ge 0.750 0.314 0.525
Ge 0.750 0.508 0.188
Ge 0.250 0.814 0.975
Ge 0.250 0.492 0.812
Ge 0.750 0.186 0.025
Ge 0.250 0.008 0.312
Ge 0.250 0.686 0.475
Pm 0.250 0.118 0.559
Pm 0.750 0.882 0.441
Pm 0.750 0.561 0.624
Pm 0.750 0.939 0.124
Pm 0.250 0.382 0.059
Pm 0.250 0.061 0.876
Pm 0.750 0.298 0.801
Pm 0.250 0.439 0.376
Pm 0.750 0.202 0.301
Pm 0.250 0.798 0.699
Pm 0.250 0.702 0.199
Pm 0.750 0.618 0.941
Al 0.750 0.868 0.866
Al 0.250 0.132 0.134
Al 0.250 0.368 0.634
Al 0.750 0.632 0.366
CELL_PARAMETERS angstrom
-1.018 4.125 0.359
-6.916 -0.855 -9.788
-9.344 -2.904 6.855
```

Results
- relative energy among the computed polymorphs (kJ per mole of atoms) = 0.00
- symmetry = Pnma (62)

---

# 8
## DyHoIn (PBE)

Data for an optimized crystal structure of DyHoIn. Values from VASP.

```
&SYSTEM
  ibrav = 0, nat = 3, ntyp = 3
/
ATOMIC_SPECIES
Dy 162.50 Dy.upf
In 114.82 In.upf
Ho 164.93 Ho.upf
ATOMIC_POSITIONS crystal
Dy 0.051 0.000 0.000
In 0.341 0.667 0.333
Ho 0.608 0.333 0.667
CELL_PARAMETERS angstrom
3.609 0.000 0.000
0.000 5.218 0.000
0.000 -2.609 4.519
```

Results
- relative energy among the computed polymorphs (kJ per mole of atoms) = 8.52
- symmetry = P3m1 (156)

---

# 9
## TaCdP2 (PBE)

Data for an optimized crystal structure of TaCdP2. Values from VASP.

```
&SYSTEM
  ibrav = 0, nat = 4, ntyp = 3
/
ATOMIC_SPECIES
P 30.97 P.upf
Cd 112.41 Cd.upf
Ta 180.95 Ta.upf
ATOMIC_POSITIONS crystal
P 0.000 0.000 0.000
P 0.000 0.500 0.500
Cd 0.500 0.000 0.500
Ta 0.500 0.500 0.000
CELL_PARAMETERS angstrom
-2.040 -2.594 0.298
1.608 -1.699 -3.790
3.120 -2.189 2.305
```

Results
- total energy (eV/cell) = -22.9
- symmetry = P4/mmm (123)

---

# 10
## K3WBr6Cl2 (PBE)

Data for an optimized crystal structure of K3WBr6Cl2. Values from VASP.

```
&SYSTEM
  ibrav = 0, nat = 12, ntyp = 4
/
ATOMIC_SPECIES
W 183.84 W.upf
K 39.10 K.upf
Br 79.90 Br.upf
Cl 35.45 Cl.upf
ATOMIC_POSITIONS crystal
W 0.500 0.000 0.000
K 0.500 0.500 0.500
K 0.500 0.000 0.500
K 0.000 0.500 0.000
Br 0.733 0.268 0.152
Br 0.267 0.732 0.848
Br 0.732 0.892 0.784
Br 0.733 0.884 0.152
Br 0.268 0.108 0.216
Br 0.267 0.116 0.848
Cl 0.745 0.333 0.666
Cl 0.255 0.667 0.334
CELL_PARAMETERS angstrom
6.389 0.000 -0.188
0.000 9.249 0.000
-1.194 -4.624 8.259
```

Results
- formation energy (no corrections) (meV/atom) = -1106
- symmetry = C2/m (12)

---

# 11
## BaFe2Cl (PBE)

Data for an optimized crystal structure of BaFe2Cl. Values from VASP.

```
&SYSTEM
  ibrav = 0, nat = 8, ntyp = 3
/
ATOMIC_SPECIES
Fe 55.84 Fe.upf
Ba 137.33 Ba.upf
Cl 35.45 Cl.upf
ATOMIC_POSITIONS crystal
Fe 0.375 0.625 0.750
Fe 0.375 0.125 0.250
Fe 0.875 0.625 0.750
Fe 0.375 0.625 0.250
Ba 0.750 0.250 0.500
Ba 0.000 0.000 0.000
Cl 0.250 0.750 0.500
Cl 0.500 0.500 0.000
CELL_PARAMETERS angstrom
-0.197 3.753 -3.030
-3.677 1.845 2.525
2.916 6.548 4.076
```

Results
- relative energy among the computed polymorphs (kJ per mole of atoms) = 37.77
- formation energy (no corrections) (meV/atom) = 367
- symmetry = I4_1/amd (141)

---

Table of volume (Å³ per cell), in record order: 154.0 282.1 89.7 83.0 218.9 151.9 612.1 85.1 65.7 485.9 174.9
Table of N(E_F) (states/eV/atom), in record order: 1.586 2.839 2.154 1.643 0.857 0.000 0.722 0.775 0.609 0.536 1.294